# Ho5Se5S2 (PBE, optimized geometry)
data_Ho5Se5S2
_cell_length_a 13.199
_cell_length_b 3.932
_cell_length_c 11.898
_cell_angle_alpha 90.00
_cell_angle_beta 105.29
_cell_angle_gamma 90.00
_symmetry_space_group_name_H-M 'C 1 2/m 1'
_symmetry_Int_Tables_number 12
loop_
_symmetry_equiv_pos_as_xyz
'x,y,z'
'-x,-y,-z'
'-x,y,-z'
'x,-y,z'
'x+1/2,y+1/2,z'
'-x+1/2,-y+1/2,-z'
'-x+1/2,y+1/2,-z'
'x+1/2,-y+1/2,z'
loop_
_atom_site_label
_atom_site_type_symbol
_atom_site_fract_x
_atom_site_fract_y
_atom_site_fract_z
Ho1 Ho 0.000 0.000 0.000
Ho2 Ho 0.110 0.000 0.414
Ho3 Ho 0.190 0.500 0.809
Se1 Se 0.000 0.500 0.500
Se2 Se 0.161 0.500 0.052
Se3 Se 0.244 0.500 0.352
S1 S 0.040 0.000 0.788
# raw total energy: -0.219 hartree per atom
# total magnetization: 0.00 μB per cell
# formation energy from raw total energies: -2220 kJ/mol of formula units
# calculated volume: 595.59 Å³/cell